Record 1
# Si2HgCl (PBE, optimized geometry)
data_Si2HgCl
_chemical_formula_sum 'Si4 Hg2 Cl2'
_symmetry_space_group_name_H-M 'C m m 2'
_symmetry_Int_Tables_number 35
_symmetry_space_group_name_Hall 'C 2 -2'
_cell_length_a 3.458
_cell_length_b 5.136
_cell_length_c 9.580
_cell_angle_alpha 90.00
_cell_angle_beta 90.00
_cell_angle_gamma 90.00
loop_
_atom_site_label
_atom_site_type_symbol
_atom_site_fract_x
_atom_site_fract_y
_atom_site_fract_z
Si1 Si 0.000 0.000 0.000
Si2 Si 0.000 0.500 0.181
Hg1 Hg 0.000 0.000 0.465
Cl1 Cl 0.000 0.500 0.806
# D(E_F): 2.1 states/eV per cell
# formation energy (no corrections): 0.3147 eV per atom
# volume: 21.3 A^3/atom


Record 2
# SiHg2Cl (PBE, optimized geometry)
data_SiHg2Cl
_chemical_formula_sum 'Si1 Hg2 Cl1'
_symmetry_space_group_name_H-M 'P 1 2/m 1'
_symmetry_Int_Tables_number 10
_symmetry_space_group_name_Hall '-P 2y'
_cell_length_a 5.150
_cell_length_b 3.103
_cell_length_c 5.763
_cell_angle_alpha 90.00
_cell_angle_beta 90.22
_cell_angle_gamma 90.00
loop_
_atom_site_label
_atom_site_type_symbol
_atom_site_fract_x
_atom_site_fract_y
_atom_site_fract_z
Si1 Si 0.000 0.000 0.000
Hg1 Hg 0.000 0.500 0.500
Hg2 Hg 0.500 0.000 0.500
Cl1 Cl 0.500 0.500 0.000
# D(E_F): 1.3 states/eV per cell
# formation energy (no corrections): 0.2641 eV per atom
# volume: 23.0 A^3/atom


Record 3
# Si2HgCl (PBE, optimized geometry)
data_Si2HgCl
_chemical_formula_sum 'Si2 Hg1 Cl1'
_symmetry_space_group_name_H-M 'P m m m'
_symmetry_Int_Tables_number 47
_symmetry_space_group_name_Hall '-P 2 2'
_cell_length_a 2.886
_cell_length_b 5.029
_cell_length_c 5.571
_cell_angle_alpha 90.00
_cell_angle_beta 90.00
_cell_angle_gamma 90.00
loop_
_atom_site_label
_atom_site_type_symbol
_atom_site_fract_x
_atom_site_fract_y
_atom_site_fract_z
Si1 Si 0.000 0.000 0.241
Hg1 Hg 0.500 0.500 0.000
Cl1 Cl 0.500 0.500 0.500
# D(E_F): 1.5 states/eV per cell
# formation energy (no corrections): 0.5330 eV per atom
# volume: 20.2 A^3/atom


Record 4
# SiHg2Cl (PBE, optimized geometry)
data_SiHg2Cl
_chemical_formula_sum 'Si2 Hg4 Cl2'
_symmetry_space_group_name_H-M 'I m m m'
_symmetry_Int_Tables_number 71
_symmetry_space_group_name_Hall '-I 2 2'
_cell_length_a 3.172
_cell_length_b 4.566
_cell_length_c 13.384
_cell_angle_alpha 90.00
_cell_angle_beta 90.00
_cell_angle_gamma 90.00
loop_
_atom_site_label
_atom_site_type_symbol
_atom_site_fract_x
_atom_site_fract_y
_atom_site_fract_z
Si1 Si 0.000 0.000 0.000
Hg1 Hg 0.000 0.500 0.311
Cl1 Cl 0.000 0.000 0.500
# D(E_F): 2.1 states/eV per cell
# formation energy (no corrections): 0.1299 eV per atom
# volume: 24.2 A^3/atom


Record 5
# Si2HgCl (PBE, optimized geometry)
data_Si2HgCl
_chemical_formula_sum 'Si4 Hg2 Cl2'
_symmetry_space_group_name_H-M 'C 1 m 1'
_symmetry_Int_Tables_number 8
_symmetry_space_group_name_Hall 'C -2y'
_cell_length_a 12.431
_cell_length_b 2.959
_cell_length_c 4.881
_cell_angle_alpha 90.00
_cell_angle_beta 110.15
_cell_angle_gamma 90.00
loop_
_atom_site_label
_atom_site_type_symbol
_atom_site_fract_x
_atom_site_fract_y
_atom_site_fract_z
Si1 Si 0.000 0.000 0.000
Si2 Si 0.180 0.500 0.107
Hg1 Hg 0.415 0.000 0.423
Cl1 Cl 0.200 0.000 0.731
# D(E_F): 3.0 states/eV per cell
# formation energy (no corrections): 0.2752 eV per atom
# volume: 21.1 A^3/atom


Record 6
# Si2HgCl (PBE, optimized geometry)
data_Si2HgCl
_chemical_formula_sum 'Si4 Hg2 Cl2'
_symmetry_space_group_name_H-M 'I 4/m m m'
_symmetry_Int_Tables_number 139
_symmetry_space_group_name_Hall '-I 4 2'
_cell_length_a 4.384
_cell_length_b 4.384
_cell_length_c 8.420
_cell_angle_alpha 90.00
_cell_angle_beta 90.00
_cell_angle_gamma 90.00
loop_
_atom_site_label
_atom_site_type_symbol
_atom_site_fract_x
_atom_site_fract_y
_atom_site_fract_z
Si1 Si 0.000 0.500 0.250
Hg1 Hg 0.000 0.000 0.000
Cl1 Cl 0.000 0.000 0.500
# D(E_F): 3.7 states/eV per cell
# formation energy (no corrections): 0.6061 eV per atom
# volume: 20.2 A^3/atom


Record 7
# SiHg2Cl (PBE, optimized geometry)
data_SiHg2Cl
_chemical_formula_sum 'Si3 Hg6 Cl3'
_symmetry_space_group_name_H-M 'R 3 m'
_symmetry_Int_Tables_number 160
_symmetry_space_group_name_Hall 'R 3 -2"'
_cell_length_a 3.2390
_cell_length_b 3.2390
_cell_length_c 31.9818
_cell_angle_alpha 90.00
_cell_angle_beta 90.00
_cell_angle_gamma 120.00
loop_
_atom_site_label
_atom_site_type_symbol
_atom_site_fract_x
_atom_site_fract_y
_atom_site_fract_z
Si1 Si 0.0000 0.0000 0.0000
Hg1 Hg 0.0000 0.0000 0.2530
Hg2 Hg 0.0000 0.0000 0.4930
Cl1 Cl 0.0000 0.0000 0.7228
# D(E_F): 8.8 states/eV per cell
# formation energy (no corrections): 0.1354 eV per atom
# volume: 24.2 A^3/atom


Record 8
# SiHg2Cl (PBE, optimized geometry)
data_SiHg2Cl
_chemical_formula_sum 'Si1 Hg2 Cl1'
_symmetry_space_group_name_H-M 'P m m 2'
_symmetry_Int_Tables_number 25
_symmetry_space_group_name_Hall 'P 2 -2'
_cell_length_a 3.767
_cell_length_b 3.821
_cell_length_c 7.284
_cell_angle_alpha 90.00
_cell_angle_beta 90.00
_cell_angle_gamma 90.00
loop_
_atom_site_label
_atom_site_type_symbol
_atom_site_fract_x
_atom_site_fract_y
_atom_site_fract_z
Si1 Si 0.000 0.000 0.000
Hg1 Hg 0.000 0.000 0.346
Hg2 Hg 0.500 0.500 0.951
Cl1 Cl 0.500 0.500 0.540
# D(E_F): 0.9 states/eV per cell
# formation energy (no corrections): 0.0038 eV per atom
# volume: 26.2 A^3/atom


Record 9
# Si2HgCl (PBE, optimized geometry)
data_Si2HgCl
_chemical_formula_sum 'Si2 Hg1 Cl1'
_symmetry_space_group_name_H-M 'P m m m'
_symmetry_Int_Tables_number 47
_symmetry_space_group_name_Hall '-P 2 2'
_cell_length_a 3.133
_cell_length_b 4.795
_cell_length_c 5.279
_cell_angle_alpha 90.00
_cell_angle_beta 90.00
_cell_angle_gamma 90.00
loop_
_atom_site_label
_atom_site_type_symbol
_atom_site_fract_x
_atom_site_fract_y
_atom_site_fract_z
Si1 Si 0.000 0.000 0.000
Si2 Si 0.500 0.000 0.500
Hg1 Hg 0.000 0.500 0.500
Cl1 Cl 0.500 0.500 0.000
# D(E_F): 1.7 states/eV per cell
# formation energy (no corrections): 0.4432 eV per atom
# volume: 19.8 A^3/atom


Record 10
# SiHg4Cl (PBE, optimized geometry)
data_SiHg4Cl
_chemical_formula_sum 'Si4 Hg16 Cl4'
_symmetry_space_group_name_H-M 'F -4 3 m'
_symmetry_Int_Tables_number 216
_symmetry_space_group_name_Hall 'F -4 2 3'
_cell_length_a 8.465
_cell_length_b 8.465
_cell_length_c 8.465
_cell_angle_alpha 90.00
_cell_angle_beta 90.00
_cell_angle_gamma 90.00
loop_
_atom_site_label
_atom_site_type_symbol
_atom_site_fract_x
_atom_site_fract_y
_atom_site_fract_z
Si1 Si 0.000 0.000 0.000
Hg1 Hg 0.125 0.125 0.375
Cl1 Cl 0.250 0.250 0.750
# D(E_F): 15.9 states/eV per cell
# formation energy (no corrections): 0.3495 eV per atom
# volume: 25.3 A^3/atom


Record 11
# SiHg2Cl (PBE, optimized geometry)
data_SiHg2Cl
_chemical_formula_sum 'Si4 Hg8 Cl4'
_symmetry_space_group_name_H-M 'F m -3 m'
_symmetry_Int_Tables_number 225
_symmetry_space_group_name_Hall '-F 4 2 3'
_cell_length_a 7.202
_cell_length_b 7.202
_cell_length_c 7.202
_cell_angle_alpha 90.00
_cell_angle_beta 90.00
_cell_angle_gamma 90.00
loop_
_atom_site_label
_atom_site_type_symbol
_atom_site_fract_x
_atom_site_fract_y
_atom_site_fract_z
Si1 Si 0.000 0.000 0.000
Hg1 Hg 0.250 0.250 0.250
Cl1 Cl 0.000 0.000 0.500
# D(E_F): 11.9 states/eV per cell
# formation energy (no corrections): 0.3838 eV per atom
# volume: 23.3 A^3/atom


Record 12
# Si3HgCl (PBE, optimized geometry)
data_Si3HgCl
_chemical_formula_sum 'Si3 Hg1 Cl1'
_symmetry_space_group_name_H-M 'P m -3 m'
_symmetry_Int_Tables_number 221
_symmetry_space_group_name_Hall '-P 4 2 3'
_cell_length_a 5.162
_cell_length_b 5.162
_cell_length_c 5.162
_cell_angle_alpha 90.00
_cell_angle_beta 90.00
_cell_angle_gamma 90.00
loop_
_atom_site_label
_atom_site_type_symbol
_atom_site_fract_x
_atom_site_fract_y
_atom_site_fract_z
Si1 Si 0.000 0.000 0.500
Hg1 Hg 0.000 0.000 0.000
Cl1 Cl 0.500 0.500 0.500
# D(E_F): 6.0 states/eV per cell
# formation energy (no corrections): 1.2449 eV per atom
# volume: 27.5 A^3/atom


Record 13
# SiHg3Cl (PBE, optimized geometry)
data_SiHg3Cl
_chemical_formula_sum 'Si1 Hg3 Cl1'
_symmetry_space_group_name_H-M 'P m -3 m'
_symmetry_Int_Tables_number 221
_symmetry_space_group_name_Hall '-P 4 2 3'
_cell_length_a 5.168
_cell_length_b 5.168
_cell_length_c 5.168
_cell_angle_alpha 90.00
_cell_angle_beta 90.00
_cell_angle_gamma 90.00
loop_
_atom_site_label
_atom_site_type_symbol
_atom_site_fract_x
_atom_site_fract_y
_atom_site_fract_z
Si1 Si 0.000 0.000 0.000
Hg1 Hg 0.000 0.000 0.500
Cl1 Cl 0.500 0.500 0.500
# D(E_F): 0.9 states/eV per cell
# formation energy (no corrections): -0.0803 eV per atom
# volume: 27.6 A^3/atom


Record 14
# Si2HgCl (PBE, optimized geometry)
data_Si2HgCl
_chemical_formula_sum 'Si4 Hg2 Cl2'
_symmetry_space_group_name_H-M 'I -4 m 2'
_symmetry_Int_Tables_number 119
_symmetry_space_group_name_Hall 'I -4 -2'
_cell_length_a 4.825
_cell_length_b 4.825
_cell_length_c 6.781
_cell_angle_alpha 90.00
_cell_angle_beta 90.00
_cell_angle_gamma 90.00
loop_
_atom_site_label
_atom_site_type_symbol
_atom_site_fract_x
_atom_site_fract_y
_atom_site_fract_z
Si1 Si 0.000 0.000 0.000
Si2 Si 0.000 0.500 0.250
Hg1 Hg 0.000 0.500 0.750
Cl1 Cl 0.000 0.000 0.500
# D(E_F): 4.0 states/eV per cell
# formation energy (no corrections): 0.5461 eV per atom
# volume: 19.7 A^3/atom


Record 15
# SiHg2Cl (PBE, optimized geometry)
data_SiHg2Cl
_chemical_formula_sum 'Si1 Hg2 Cl1'
_symmetry_space_group_name_H-M 'P 4/m m m'
_symmetry_Int_Tables_number 123
_symmetry_space_group_name_Hall '-P 4 2'
_cell_length_a 5.321
_cell_length_b 5.321
_cell_length_c 3.144
_cell_angle_alpha 90.00
_cell_angle_beta 90.00
_cell_angle_gamma 90.00
loop_
_atom_site_label
_atom_site_type_symbol
_atom_site_fract_x
_atom_site_fract_y
_atom_site_fract_z
Si1 Si 0.000 0.000 0.000
Hg1 Hg 0.000 0.500 0.500
Cl1 Cl 0.500 0.500 0.000
# D(E_F): 1.2 states/eV per cell
# formation energy (no corrections): 0.2482 eV per atom
# volume: 22.3 A^3/atom


Record 16
# SiHg2Cl (PBE, optimized geometry)
data_SiHg2Cl
_chemical_formula_sum 'Si4 Hg8 Cl4'
_symmetry_space_group_name_H-M 'F -4 3 m'
_symmetry_Int_Tables_number 216
_symmetry_space_group_name_Hall 'F -4 2 3'
_cell_length_a 7.184
_cell_length_b 7.184
_cell_length_c 7.184
_cell_angle_alpha 90.00
_cell_angle_beta 90.00
_cell_angle_gamma 90.00
loop_
_atom_site_label
_atom_site_type_symbol
_atom_site_fract_x
_atom_site_fract_y
_atom_site_fract_z
Si1 Si 0.000 0.000 0.000
Hg1 Hg 0.000 0.000 0.500
Hg2 Hg 0.250 0.250 0.250
Cl1 Cl 0.250 0.250 0.750
# D(E_F): 12.6 states/eV per cell
# formation energy (no corrections): 0.3742 eV per atom
# volume: 23.2 A^3/atom


Record 17
# SiHg2Cl (PBE, optimized geometry)
data_SiHg2Cl
_chemical_formula_sum 'Si2 Hg4 Cl2'
_symmetry_space_group_name_H-M 'C 1 m 1'
_symmetry_Int_Tables_number 8
_symmetry_space_group_name_Hall 'C -2y'
_cell_length_a 10.020
_cell_length_b 3.061
_cell_length_c 7.097
_cell_angle_alpha 90.00
_cell_angle_beta 112.13
_cell_angle_gamma 90.00
loop_
_atom_site_label
_atom_site_type_symbol
_atom_site_fract_x
_atom_site_fract_y
_atom_site_fract_z
Si1 Si 0.000 0.000 0.000
Hg1 Hg 0.040 0.500 0.371
Hg2 Hg 0.349 0.000 0.625
Cl1 Cl 0.194 0.500 0.001
# D(E_F): 2.7 states/eV per cell
# formation energy (no corrections): 0.0739 eV per atom
# volume: 25.2 A^3/atom


Record 18
# SiHg2Cl (PBE, optimized geometry)
data_SiHg2Cl
_chemical_formula_sum 'Si4 Hg8 Cl4'
_symmetry_space_group_name_H-M 'I -4 2 d'
_symmetry_Int_Tables_number 122
_symmetry_space_group_name_Hall 'I -4 2bw'
_cell_length_a 6.288
_cell_length_b 6.288
_cell_length_c 12.630
_cell_angle_alpha 90.00
_cell_angle_beta 90.00
_cell_angle_gamma 90.00
loop_
_atom_site_label
_atom_site_type_symbol
_atom_site_fract_x
_atom_site_fract_y
_atom_site_fract_z
Si1 Si 0.000 0.000 0.000
Hg1 Hg 0.192 0.250 0.125
Cl1 Cl 0.000 0.000 0.500
# D(E_F): 11.9 states/eV per cell
# formation energy (no corrections): 0.0501 eV per atom
# volume: 31.2 A^3/atom


Record 19
# SiHg2Cl (PBE, optimized geometry)
data_SiHg2Cl
_chemical_formula_sum 'Si2 Hg4 Cl2'
_symmetry_space_group_name_H-M 'C m m m'
_symmetry_Int_Tables_number 65
_symmetry_space_group_name_Hall '-C 2 2'
_cell_length_a 3.973
_cell_length_b 6.072
_cell_length_c 8.019
_cell_angle_alpha 90.00
_cell_angle_beta 90.00
_cell_angle_gamma 90.00
loop_
_atom_site_label
_atom_site_type_symbol
_atom_site_fract_x
_atom_site_fract_y
_atom_site_fract_z
Si1 Si 0.000 0.000 0.000
Hg1 Hg 0.000 0.500 0.233
Cl1 Cl 0.000 0.000 0.500
# D(E_F): 1.7 states/eV per cell
# formation energy (no corrections): 0.1417 eV per atom
# volume: 24.2 A^3/atom


Record 20
# Si2HgCl8 (PBE, optimized geometry)
data_Si2HgCl8
_chemical_formula_sum 'Si4 Hg2 Cl16'
_symmetry_space_group_name_H-M 'C 1 2/m 1'
_symmetry_Int_Tables_number 12
_symmetry_space_group_name_Hall '-C 2y'
_cell_length_a 13.515
_cell_length_b 7.455
_cell_length_c 10.012
_cell_angle_alpha 90.00
_cell_angle_beta 115.67
_cell_angle_gamma 90.00
loop_
_atom_site_label
_atom_site_type_symbol
_atom_site_fract_x
_atom_site_fract_y
_atom_site_fract_z
Si1 Si 0.221 0.000 0.190
Hg1 Hg 0.000 0.000 0.500
Cl1 Cl 0.112 0.500 0.724
Cl2 Cl 0.156 0.000 0.965
Cl3 Cl 0.171 0.223 0.261
# D(E_F): 0.0 states/eV per cell
# formation energy (no corrections): -1.1220 eV per atom
# volume: 41.3 A^3/atom


Result set for mass density: 5.70 8.38 6.00 7.96 5.76 6.00 7.97 7.36 6.12 9.48 8.26 3.87 8.00 6.15 8.67 8.33 7.65 6.18 7.98 1.97 g cm⁻³, one per record in the order listed.